Entry 1:
The following is a DFT calculation (PBE) of crystalline AcPmBr at its relaxed geometry.

Calculated values
raw formation energy = -0.74 eV/atom
calculated total energy = -12.7 eV for the cell shown
offset from the most stable computed form = 0.0381 eV/atom

POSCAR file:
```
AcPmBr
1.0
3.940 0.000 0.000
-1.970 3.412 0.000
0.000 0.000 7.985
Ac Br Pm
1 1 1
Cartesian
0.000 0.000 7.911 Ac
0.000 2.275 5.142 Br
1.970 1.137 2.918 Pm
```

Entry 2:
The following is a DFT calculation (PBE) of crystalline SnSe2IN at its relaxed geometry.

Calculated values
raw formation energy = 0.85 eV/atom
calculated total energy = -16.6 eV for the cell shown
offset from the most stable computed form = 0.0000 eV/atom

POSCAR file:
```
SnSe2IN
1.0
-0.601 -4.078 -3.678
3.747 2.400 -3.273
2.898 -2.058 1.809
I Sn Se N
1 1 2 1
Cartesian
3.022 -1.868 -2.571 I
0.000 0.000 0.000 Sn
1.874 1.200 -1.637 Se
-0.301 -2.039 -1.839 Se
1.449 -1.029 0.904 N
```

Entry 3:
The following is a DFT calculation (PBE) of crystalline HoEr5Tm2In at its relaxed geometry.

Calculated values
calculated total energy = -78.1 eV for the cell shown
energy of formation = 0.0030 eV per atom

POSCAR file:
```
HoEr5Tm2In
1.0
5.285 0.000 0.000
-2.643 9.985 0.000
0.000 0.000 10.356
Ho Er Tm In
2 10 4 2
Cartesian
2.643 5.857 5.263 Ho
0.000 4.129 0.085 Ho
0.000 7.616 0.086 Er
2.643 4.221 8.377 Er
0.000 9.984 7.852 Er
0.000 5.766 7.327 Er
2.643 9.779 5.264 Er
2.643 2.369 5.264 Er
0.000 5.764 3.199 Er
2.643 0.002 2.674 Er
2.643 4.219 2.149 Er
0.000 0.207 0.086 Er
2.643 7.667 8.252 Tm
0.000 2.318 7.455 Tm
0.000 2.318 3.074 Tm
2.643 7.667 2.277 Tm
2.643 1.909 0.083 In
0.000 8.077 5.261 In
```

Entry 4:
The following is a DFT calculation (PBE) of crystalline ScMn2 at its relaxed geometry.

Calculated values
calculated total energy = -23.4 eV for the cell shown
energy of formation = 0.4218 eV per atom

POSCAR file:
```
ScMn2
1.0
-0.534 -2.640 1.144
0.219 0.321 -2.901
6.604 -1.178 0.367
Mn Sc
2 1
Cartesian
6.541 -1.166 0.364 Mn
4.433 -1.462 -1.304 Mn
1.918 -2.046 -0.082 Sc
```

Entry 5:
The following is a DFT calculation (PBE) of crystalline Mg2TaCu at its relaxed geometry.

Calculated values
calculated total energy = -18.3 eV for the cell shown
energy of formation = 0.1994 eV per atom
offset from the most stable computed form = 0.1067 eV/atom

POSCAR file:
```
Mg2TaCu
1.0
9.818 0.025 0.014
9.384 2.888 0.014
9.384 1.423 2.513
Cu Mg Ta
1 2 1
Cartesian
21.439 3.252 1.907 Cu
0.219 0.033 0.019 Mg
14.074 2.135 1.252 Mg
7.146 1.084 0.636 Ta
```

Entry 6:
The following is a DFT calculation (PBE) of crystalline Ho4ZnRh5 at its relaxed geometry.

Calculated values
calculated total energy = -64.3 eV for the cell shown
energy of formation = -0.7983 eV per atom

POSCAR file:
```
Ho4ZnRh5
1.0
-1.191 -0.641 3.080
3.099 -0.807 1.031
2.647 15.612 4.271
Ho Zn Rh
4 1 5
Cartesian
0.488 2.879 0.788 Ho
1.045 6.165 1.687 Ho
1.602 9.447 2.585 Ho
2.159 12.733 3.484 Ho
0.000 0.000 0.000 Zn
1.178 0.597 2.417 Rh
1.726 3.832 3.302 Rh
2.278 7.082 4.191 Rh
2.829 10.332 5.080 Rh
3.377 13.567 5.965 Rh
```